Computed, not measured: an optimized crystal structure of ErTm2Sc3CuS2 at the GGA-PBE level of DFT.

* symmetry: Amm2 (38)

a = 3.751 Å, b = 7.526 Å, c = 7.526 Å
α = 119.93°, β = 90.00°, γ = 90.00°
Sites, in units of the cell vectors:
Cu  0.000  0.999  0.999
Er  0.000  0.408  0.408
S  0.500  0.667  0.333
S  0.500  0.333  0.667
Sc  0.500  0.000  0.252
Sc  0.500  0.748  0.748
Sc  0.500  0.252  0.000
Tm  0.000  0.593  0.000
Tm  0.000  0.000  0.593

---

Computed, not measured: an optimized crystal structure of TaTcNO at the GGA-PBE level of DFT.

* symmetry: P4/nmm (129)

a = 3.819 Å, b = 3.819 Å, c = 6.185 Å
α = 90.00°, β = 90.00°, γ = 90.00°
Sites, in units of the cell vectors:
N  0.000  0.500  0.347
N  0.500  0.000  0.653
O  0.000  0.000  0.000
O  0.500  0.500  0.000
Ta  0.500  0.000  0.143
Ta  0.000  0.500  0.857
Tc  0.000  0.000  0.500
Tc  0.500  0.500  0.500

---

Computed, not measured: an optimized crystal structure of NbCl4 at the GGA-PBE level of DFT.

* symmetry: Cmc2_1 (36)

a = 7.020 Å, b = 7.020 Å, c = 12.772 Å
α = 90.00°, β = 90.00°, γ = 121.65°
Sites, in units of the cell vectors:
Cl  0.237  0.272  0.027
Cl  0.728  0.763  0.027
Cl  0.485  0.025  0.227
Cl  0.975  0.515  0.227
Cl  0.494  0.506  0.292
Cl  0.011  0.989  0.302
Cl  0.237  0.763  0.451
Cl  0.753  0.247  0.462
Cl  0.272  0.237  0.527
Cl  0.763  0.728  0.527
Cl  0.025  0.485  0.727
Cl  0.515  0.975  0.727
Cl  0.506  0.494  0.792
Cl  0.989  0.011  0.802
Cl  0.763  0.237  0.951
Cl  0.247  0.753  0.962
Nb  0.403  0.156  0.377
Nb  0.844  0.597  0.377
Nb  0.156  0.403  0.877
Nb  0.597  0.844  0.877

---

Computed, not measured: an optimized crystal structure of PrGdSbI2 at the GGA-PBE level of DFT.

* symmetry: P3m1 (156)

a = 4.431 Å, b = 4.431 Å, c = 11.451 Å
α = 90.00°, β = 90.00°, γ = 120.00°
Sites, in units of the cell vectors:
Gd  0.000  0.000  0.847
I  0.000  0.000  0.330
I  0.333  0.667  0.679
Pr  0.333  0.667  0.152
Sb  0.667  0.333  0.993

---

V per entry: 184.1; 90.2; 535.8; 194.7 Å³ per cell
Calculated total energy per entry: -5.698; -9.413; -4.745; -4.646 eV per atom